[1]
Material: CrAgCl
Method: DFT, GGA-PBEsol
State: relaxed

Cell: 4.4073 4.4073 4.4073 Å, 60.00 60.00 60.00°
Closest atoms and distances in Å follow each position.
Sites, in units of the cell vectors:
Cr: 0.0000 0.0000 0.0000  4 Cl 2.70, 4 Ag 2.70
Ag: 0.2500 0.2500 0.2500  4 Cr 2.70
Cl: 0.7500 0.7500 0.7500  4 Cr 2.70

Crystal system: cubic
Energy relative to the elements, uncorrected in meV/atom: 514
DOS(E_F) in states/eV/f.u.: 3.79

[2]
Material: Co2MoP
Method: DFT, GGA-PBEsol
State: relaxed

Cell: 7.8436 7.8436 7.8436 Å, 19.43 19.43 19.43°
Closest atoms and distances in Å follow each position.
Sites, in units of the cell vectors:
Co: 0.2393 0.2393 0.2393  3 P 2.27
Co: 0.7607 0.7607 0.7607  3 P 2.27
Mo: 0.0000 0.0000 0.0000  6 Mo 2.65, 6 Co 2.65
P: 0.5000 0.5000 0.5000  6 Co 2.27

Crystal system: trigonal
DOS(E_F) in states/eV/f.u.: 4.15
DFT formation energy in eV per atom: -0.085

[3]
Material: SrLa2Cl
Method: DFT, GGA-PBEsol
State: relaxed

Cell: 3.6168 3.6168 9.9116 Å, 90.00 90.00 90.00°
Closest atoms and distances in Å follow each position.
Sites, in units of the cell vectors:
Sr: 0.0000 0.0000 0.0000  4 Cl 3.17
La: 0.0000 0.0000 0.4342  4 Cl 3.53, 8 La 3.62
La: 0.5000 0.5000 0.6924  8 La 3.62, 4 Sr 3.98
Cl: 0.5000 0.5000 0.1894  4 Sr 3.17, 4 La 3.53

Crystal system: tetragonal
Energy relative to the elements, uncorrected in meV/atom: -645
DOS(E_F) in states/eV/f.u.: 4.22
Polymorph energy (0 for the lowest one) in eV per formula unit: 0.000

| no. | VASP energy (eV per atom) |
| --- | --- |
| 1 | -4.67 |
| 2 | -8.34 |
| 3 | -4.28 |